# 1
The following is a PBE calculation of crystalline YPdN2F at its relaxed geometry, from Alexandria via LeMat-Bulk.

Unit cell a=4.504 b=4.504 c=4.201 alpha=90.00 beta=90.00 gamma=90.00
Positions (direct):
1 Y 0.000 0.000 0.000
2 Pd 0.500 0.500 0.500
3 N 0.000 0.500 0.000
4 N 0.500 0.000 0.000
5 F 0.000 0.000 0.500

Output
- offset from the most stable computed form (meV per atom) = 446
- space-group type = No. 123
- raw formation energy (eV per atom) = 0.24
- V (A^3/atom) = 17.04

# 2
The following is a PBE calculation of crystalline YPdN2F at its relaxed geometry, from Alexandria via LeMat-Bulk.

Unit cell a=4.008 b=4.008 c=4.128 alpha=90.00 beta=90.00 gamma=90.00
Positions (direct):
1 Y 0.000 0.000 0.000
2 Pd 0.500 0.500 0.500
3 N 0.000 0.500 0.500
4 N 0.500 0.000 0.500
5 F 0.500 0.500 0.000

Output
- offset from the most stable computed form (meV per atom) = 0
- space-group type = No. 123
- raw formation energy (eV per atom) = -0.21
- V (A^3/atom) = 13.26

# 3
The following is a PBE calculation of crystalline YPdNF2 at its relaxed geometry, from Alexandria via LeMat-Bulk.

Unit cell a=4.292 b=4.292 c=4.747 alpha=90.00 beta=90.00 gamma=90.00
Positions (direct):
1 Y 0.000 0.000 0.000
2 Pd 0.500 0.500 0.500
3 N 0.000 0.000 0.500
4 F 0.000 0.500 0.000
5 F 0.500 0.000 0.000

Output
- offset from the most stable computed form (meV per atom) = 0
- space-group type = No. 123
- raw formation energy (eV per atom) = -1.28
- V (A^3/atom) = 17.49

# 4
The following is a PBE calculation of crystalline YPdNF2 at its relaxed geometry, from Alexandria via LeMat-Bulk.

Unit cell a=4.105 b=4.105 c=4.259 alpha=90.00 beta=90.00 gamma=90.00
Positions (direct):
1 Y 0.000 0.000 0.000
2 Pd 0.500 0.500 0.500
3 N 0.500 0.500 0.000
4 F 0.000 0.500 0.500
5 F 0.500 0.000 0.500

Output
- offset from the most stable computed form (meV per atom) = 345
- space-group type = No. 123
- raw formation energy (eV per atom) = -0.93
- V (A^3/atom) = 14.36

# 5
The following is a PBE calculation of crystalline Zr2PdNF at its relaxed geometry, from Alexandria via LeMat-Bulk.

Unit cell a=4.352 b=4.352 c=4.341 alpha=90.00 beta=90.00 gamma=90.00
Positions (direct):
1 Zr 0.000 0.500 0.000
2 Zr 0.500 0.000 0.000
3 Pd 0.000 0.000 0.500
4 N 0.500 0.500 0.000
5 F 0.500 0.500 0.500

Output
- space-group type = No. 123
- raw formation energy (eV per atom) = -0.64
- V (A^3/atom) = 16.44

# 6
The following is a PBE calculation of crystalline ZrPdNF2 at its relaxed geometry, from Alexandria via LeMat-Bulk.

Unit cell a=4.176 b=4.176 c=4.264 alpha=90.00 beta=90.00 gamma=90.00
Positions (direct):
1 Zr 0.000 0.000 0.000
2 Pd 0.500 0.500 0.500
3 N 0.000 0.000 0.500
4 F 0.000 0.500 0.000
5 F 0.500 0.000 0.000

Output
- offset from the most stable computed form (meV per atom) = 0
- space-group type = No. 123
- raw formation energy (eV per atom) = -1.36
- V (A^3/atom) = 14.87

# 7
The following is a PBE calculation of crystalline ZrPdN2F at its relaxed geometry, from Alexandria via LeMat-Bulk.

Unit cell a=4.263 b=4.263 c=4.082 alpha=90.00 beta=90.00 gamma=90.00
Positions (direct):
1 Zr 0.000 0.000 0.000
2 Pd 0.500 0.500 0.500
3 N 0.000 0.500 0.000
4 N 0.500 0.000 0.000
5 F 0.000 0.000 0.500

Output
- offset from the most stable computed form (meV per atom) = 0
- space-group type = No. 123
- raw formation energy (eV per atom) = -0.19
- V (A^3/atom) = 14.84

# 8
The following is a PBE calculation of crystalline ZrPdNF2 at its relaxed geometry, from Alexandria via LeMat-Bulk.

Unit cell a=4.097 b=4.097 c=4.137 alpha=90.00 beta=90.00 gamma=90.00
Positions (direct):
1 Zr 0.000 0.000 0.000
2 Pd 0.500 0.500 0.500
3 N 0.500 0.500 0.000
4 F 0.000 0.500 0.500
5 F 0.500 0.000 0.500

Output
- offset from the most stable computed form (meV per atom) = 1057
- space-group type = No. 123
- raw formation energy (eV per atom) = -0.30
- V (A^3/atom) = 13.89

Repeat the sixth record exactly.
The following is a PBE calculation of crystalline ZrPdNF2 at its relaxed geometry, from Alexandria via LeMat-Bulk.

Unit cell a=4.176 b=4.176 c=4.264 alpha=90.00 beta=90.00 gamma=90.00
Positions (direct):
1 Zr 0.000 0.000 0.000
2 Pd 0.500 0.500 0.500
3 N 0.000 0.000 0.500
4 F 0.000 0.500 0.000
5 F 0.500 0.000 0.000

Output
- offset from the most stable computed form (meV per atom) = 0
- space-group type = No. 123
- raw formation energy (eV per atom) = -1.36
- V (A^3/atom) = 14.87